# YTe2Rh2

A geometry-optimized YTe2Rh2 structure (GGA-PBE, Alexandria via LeMat-Bulk).

Summary:
* calculated total energy: -6.00 eV per atom
* symmetry: No. 139
* calculated volume: 22.3 Å³/atom
* magnetization: 0.000 μB per formula unit

Lattice parameters (Å, degrees): 4.9994 4.9994 5.6988 63.98 63.98 90.00
Last column: nearest neighbours and their distance in Å.
Fractional coordinates of all 5 atoms:
Te 0.7500 0.2500 0.5000  4 Rh 2.66
Te 0.2500 0.7500 0.5000  4 Rh 2.66
Y 0.0000 0.0000 0.0000  2 Rh 3.15, 8 Te 3.35
Rh 0.3529 0.3529 0.2942  1 Rh 2.63, 4 Te 2.66
Rh 0.6471 0.6471 0.7058  1 Rh 2.63, 4 Te 2.66